[1]
Compound: Tb6Sm2Tm3Sc
Source: Alexandria
Functional: PBE
Structure: relaxed

Energy relative to the elements = 0.026 eV/atom

Lattice parameters (Å, degrees): 6.1096 6.1096 11.6916 94.98 94.98 119.97
Fractional coordinates of all 12 atoms:
Tb  0.0836  0.4140  0.7510
Tb  0.2469  0.2469  0.2489
Tb  0.4140  0.0836  0.7510
Tb  0.5860  0.9164  0.2490
Tb  0.7531  0.7531  0.7511
Tb  0.9164  0.5860  0.2490
Sm  0.3333  0.6667  0.5000
Sm  0.6667  0.3333  0.5000
Tm  0.1661  0.8339  0.0000
Tm  0.5000  0.5000  0.0000
Tm  0.8339  0.1661  0.0000
Sc  0.0000  0.0000  0.5000


[2]
Compound: TbSm6Tm2Sc
Source: Alexandria
Functional: PBE
Structure: relaxed

Energy relative to the elements = 0.129 eV/atom

Lattice parameters (Å, degrees): 8.8394 8.8394 9.3302 93.17 93.17 117.29
Fractional coordinates of all 20 atoms:
Tb  0.0272  0.9728  0.7500
Tb  0.9728  0.0272  0.2500
Sm  0.0053  0.4419  0.3069
Sm  0.1222  0.7669  0.0524
Sm  0.2331  0.8778  0.4476
Sm  0.2900  0.5140  0.8875
Sm  0.4419  0.0053  0.8069
Sm  0.4860  0.7100  0.6125
Sm  0.5140  0.2900  0.3875
Sm  0.5581  0.9947  0.1931
Sm  0.7100  0.4860  0.1125
Sm  0.7669  0.1222  0.5524
Sm  0.8778  0.2331  0.9476
Sm  0.9947  0.5581  0.6931
Tm  0.2056  0.3057  0.5493
Tm  0.3057  0.2056  0.0493
Tm  0.6943  0.7944  0.9507
Tm  0.7944  0.6943  0.4507
Sc  0.4195  0.5805  0.2500
Sc  0.5805  0.4195  0.7500


[3]
Compound: Tb5SmTm2Sc
Source: Alexandria
Functional: PBE
Structure: relaxed

Energy relative to the elements = 0.170 eV/atom

Lattice parameters (Å, degrees): 10.2697 10.2697 10.3692 90.00 90.00 148.69
Fractional coordinates of all 18 atoms:
Tb  0.0184  0.9816  0.5000
Tb  0.1224  0.8776  0.7809
Tb  0.2008  0.7992  0.4659
Tb  0.2231  0.7769  0.0808
Tb  0.4822  0.5178  0.7781
Tb  0.5178  0.4822  0.2781
Tb  0.7769  0.2231  0.5808
Tb  0.7992  0.2008  0.9659
Tb  0.8776  0.1224  0.2809
Tb  0.9816  0.0184  0.0000
Sm  0.0887  0.9113  0.2145
Sm  0.9113  0.0887  0.7145
Tm  0.3860  0.6140  0.4972
Tm  0.3881  0.6119  0.0725
Tm  0.6119  0.3881  0.5725
Tm  0.6140  0.3860  0.9972
Sc  0.3046  0.6954  0.7749
Sc  0.6954  0.3046  0.2749